1.
{
  "formula": "PuRh2Pb",
  "functional": "PBE",
  "state": "relaxed",
  "lattice_angstrom": [[4.612, 0.000, 0.000], [0.000, 4.612, 0.000], [0.000, 0.000, 3.699]],
  "species": ["Pu", "Rh", "Rh", "Pb"],
  "frac_coords": [[0.000, 0.000, 0.000], [0.000, 0.500, 0.500], [0.500, 0.000, 0.500], [0.500, 0.500, 0.000]],
  "e_form_ev_per_atom": -0.244,
  "spacegroup": "P4/mmm",
  "crystal_system": "tetragonal"
}

2.
{
  "formula": "FeSb2OsPt",
  "functional": "PBE",
  "state": "relaxed",
  "lattice_angstrom": [[4.995, 0.000, 0.000], [0.000, 4.995, 0.000], [0.000, 0.000, 4.763]],
  "species": ["Fe", "Sb", "Sb", "Os", "Pt"],
  "frac_coords": [[0.000, 0.000, 0.000], [0.000, 0.500, 0.500], [0.500, 0.000, 0.500], [0.000, 0.000, 0.500], [0.500, 0.500, 0.000]],
  "formation_energy_uncorrected_ev_per_atom": 0.984,
  "spacegroup": "P4/mmm",
  "crystal_system": "tetragonal"
}

3.
{
  "formula": "LiDyThTc",
  "functional": "PBE",
  "state": "relaxed",
  "lattice_angstrom": [[0.000, 3.542, 3.542], [3.542, 0.000, 3.542], [3.542, 3.542, 0.000]],
  "species": ["Li", "Dy", "Th", "Tc"],
  "frac_coords": [[0.000, 0.000, 0.000], [0.250, 0.250, 0.250], [0.750, 0.750, 0.750], [0.500, 0.500, 0.500]],
  "e_form_ev_per_atom": -0.070,
  "spacegroup": "F-43m",
  "crystal_system": "cubic"
}

4.
{
  "formula": "Nb2CoPd",
  "functional": "PBE",
  "state": "relaxed",
  "lattice_angstrom": [[3.942, 0.000, 0.000], [0.000, 3.942, 0.000], [0.000, 0.000, 3.964]],
  "species": ["Nb", "Nb", "Co", "Pd"],
  "frac_coords": [[0.000, 0.500, 0.000], [0.500, 0.000, 0.000], [0.000, 0.000, 0.500], [0.500, 0.500, 0.500]],
  "e_form_ev_per_atom": -0.138,
  "e_above_lowest_polymorph_mev_per_atom": 67.0,
  "spacegroup": "P4/mmm",
  "crystal_system": "tetragonal"
}

5.
{
  "formula": "Cs2TeAsI6",
  "functional": "PBE",
  "state": "relaxed",
  "lattice_angstrom": [[-4.313, 4.313, 6.046], [4.313, -4.313, 6.046], [4.313, 4.313, -6.046]],
  "species": ["Cs", "Cs", "Te", "As", "I", "I", "I", "I", "I", "I"],
  "frac_coords": [[0.250, 0.750, 0.500], [0.750, 0.250, 0.500], [0.000, 0.000, 0.000], [0.500, 0.500, 0.000], [0.258, 0.258, 0.000], [0.260, 0.260, 0.519], [0.260, 0.740, 0.000], [0.740, 0.260, 0.000], [0.740, 0.740, 0.481], [0.742, 0.742, 0.000]],
  "formation_energy_uncorrected_ev_per_atom": -0.666,
  "spacegroup": "I4/mmm",
  "crystal_system": "tetragonal"
}

6.
{
  "formula": "Rb2Ac2NpS6",
  "functional": "PBE",
  "state": "relaxed",
  "lattice_angstrom": [[3.773, -6.439, 0.000], [3.773, 6.439, 0.000], [-2.467, 0.000, 7.826]],
  "species": ["Rb", "Rb", "Ac", "Ac", "Np", "S", "S", "S", "S", "S", "S"],
  "frac_coords": [[0.168, 0.832, 0.000], [0.832, 0.168, 0.000], [0.335, 0.665, 0.500], [0.665, 0.335, 0.500], [0.000, 0.000, 0.500], [0.059, 0.371, 0.689], [0.239, 0.239, 0.310], [0.371, 0.059, 0.689], [0.629, 0.941, 0.311], [0.761, 0.761, 0.690], [0.941, 0.629, 0.311]],
  "formation_energy_uncorrected_ev_per_atom": -1.697,
  "spacegroup": "C2/m",
  "crystal_system": "monoclinic"
}

7.
{
  "formula": "Ti3NiW",
  "functional": "PBE",
  "state": "relaxed",
  "lattice_angstrom": [[4.729, 0.000, 0.000], [0.000, 4.729, 0.000], [0.000, 0.000, 4.729]],
  "species": ["Ti", "Ti", "Ti", "Ni", "W"],
  "frac_coords": [[0.000, 0.000, 0.500], [0.000, 0.500, 0.000], [0.500, 0.000, 0.000], [0.500, 0.500, 0.500], [0.000, 0.000, 0.000]],
  "e_form_ev_per_atom": 1.172,
  "e_above_lowest_polymorph_mev_per_atom": 493.7,
  "spacegroup": "Pm-3m",
  "crystal_system": "cubic"
}

8.
{
  "formula": "Sm3Ho3Ni4",
  "functional": "PBE",
  "state": "relaxed",
  "lattice_angstrom": [[3.851, 0.000, 0.000], [0.000, 5.348, 5.409], [0.000, -5.348, 5.409]],
  "species": ["Sm", "Sm", "Sm", "Ho", "Ho", "Ho", "Ni", "Ni", "Ni", "Ni"],
  "frac_coords": [[0.000, 0.000, 0.000], [0.500, 0.342, 0.845], [0.500, 0.845, 0.342], [0.000, 0.180, 0.508], [0.000, 0.508, 0.180], [0.000, 0.672, 0.672], [0.500, 0.225, 0.225], [0.500, 0.463, 0.463], [0.500, 0.712, 0.956], [0.500, 0.956, 0.712]],
  "e_form_ev_per_atom": -0.289,
  "spacegroup": "Amm2",
  "crystal_system": "orthorhombic"
}

9.
{
  "formula": "PuUTc4",
  "functional": "PBE",
  "state": "relaxed",
  "lattice_angstrom": [[4.629, 0.000, 0.000], [0.000, 7.883, 0.000], [0.000, 0.000, 2.905]],
  "species": ["Pu", "U", "Tc", "Tc", "Tc", "Tc"],
  "frac_coords": [[0.000, 0.000, 0.000], [0.500, 0.500, 0.540], [0.000, 0.300, 0.826], [0.000, 0.700, 0.826], [0.500, 0.209, 0.326], [0.500, 0.791, 0.326]],
  "e_form_ev_per_atom": 0.091,
  "e_above_lowest_polymorph_mev_per_atom": 48.8,
  "spacegroup": "Pmm2",
  "crystal_system": "orthorhombic"
}

10.
{
  "formula": "CrHg2Cl",
  "functional": "PBE",
  "state": "relaxed",
  "lattice_angstrom": [[4.350, -1.700, 0.000], [4.350, 1.700, 0.000], [-2.402, 0.000, 6.944]],
  "species": ["Cr", "Hg", "Hg", "Cl"],
  "frac_coords": [[0.000, 0.000, 0.000], [0.352, 0.352, 0.639], [0.553, 0.553, 0.361], [0.719, 0.719, 0.001]],
  "formation_energy_uncorrected_ev_per_atom": -0.057,
  "e_above_lowest_polymorph_mev_per_atom": 39.1,
  "spacegroup": "Cm",
  "crystal_system": "monoclinic"
}

11.
{
  "formula": "FeRuBr2",
  "functional": "PBE",
  "state": "relaxed",
  "lattice_angstrom": [[3.398, 0.000, 0.000], [0.000, 3.460, 0.000], [-1.114, 0.000, 7.765]],
  "species": ["Fe", "Ru", "Br", "Br"],
  "frac_coords": [[0.000, 0.000, 0.000], [0.527, 0.500, 0.116], [0.289, 0.500, 0.795], [0.662, 0.000, 0.351]],
  "formation_energy_uncorrected_ev_per_atom": 0.213,
  "e_above_lowest_polymorph_mev_per_atom": 68.0,
  "spacegroup": "Pm",
  "crystal_system": "monoclinic"
}

| no. | VASP energy (eV/cell) | N(E_F) (states/eV per cell) |
| --- | --- | --- |
| 1 | -33.72 | 11.93 |
| 2 | -29.06 | 5.20 |
| 3 | -24.58 | 2.60 |
| 4 | -32.99 | 2.98 |
| 5 | -25.45 | 4.21 |
| 6 | -66.52 | 5.53 |
| 7 | -36.56 | 10.24 |
| 8 | -53.91 | 9.39 |
| 9 | -66.54 | 10.25 |
| 10 | -12.30 | 1.68 |
| 11 | -20.23 | 2.72 |